# 1
The following is a PBE calculation of an optimized crystal structure of AuS6Cl2, from Alexandria.

The structure belongs to space group C2/c (No. 15); the cell edges are 18.671, 12.786 and 5.339 Å and the angles 90.00°, 95.59° and 90.00°. Symmetry generates all atoms from Au at (0.000, 0.148, 0.250), S at (0.040, 0.235, 0.638), S at (0.109, 0.027, 0.220), S at (0.165, 0.160, 0.227) and Cl at (0.228, 0.380, 0.752).

The total magnetic moment is 0.000 μB/f.u. The calculation puts the uncorrected formation energy at 0.0941 eV per atom.

# 2
The following is a PBE calculation of an optimized crystal structure of Sc2TaVOs, from Alexandria.

The structure belongs to space group P4/mmm (No. 123); the cell edges are 4.508, 4.508 and 4.721 Å and the angles 90.00°, 90.00° and 90.00°. Symmetry generates all atoms from Sc at (0.000, 0.500, 0.000), Ta at (0.000, 0.000, 0.500), V at (0.000, 0.000, 0.000) and Os at (0.500, 0.500, 0.500).

The calculation puts the energy relative to the elements at 1.104 eV per atom. The total magnetic moment is 0.000 μB/f.u.

# 3
The following is a PBE calculation of an optimized crystal structure of HgSbOs2, from Alexandria.

The structure belongs to space group R3m (No. 160, hexagonal axes); the cell edges are 2.9353, 2.9353 and 31.8042 Å and the angles 90.00°, 90.00° and 120.00°. Symmetry generates all atoms from Hg at (0.0000, 0.0000, 0.0000), Sb at (0.0000, 0.0000, 0.2148), Os at (0.0000, 0.0000, 0.4765) and Os at (0.0000, 0.0000, 0.7467).

The total magnetic moment is 0.000 μB/f.u. The calculation puts the uncorrected formation energy at 0.6235 eV per atom. Its energy relative to the lowest polymorph listed for this composition is 122 meV per atom.

no.,V (A^3/atom),E (eV/atom)
1,35.24,-3.43
2,19.19,-7.87
3,19.78,-6.10